Material: V6O11F
Method: DFT, GGA+U
State: relaxed

a b c (Å): 4.6101 5.5250 7.5287
angles (deg): 85.73 89.10 89.00
Each line ends with the local moment (μB).
Sites, in units of the cell vectors:
V1 0.5245 0.8512 0.6741  1.08
V2 0.4820 0.4819 0.9898  1.18
V3 0.4865 0.1641 0.3324  1.18
V4 0.9850 0.3247 0.6617  1.17
V5 0.9778 0.6612 0.3115  1.09
V6 0.0079 0.0047 0.0073  1.82
O1 0.8029 0.3653 0.4327  -0.06
O2 0.7960 0.6914 0.1079  -0.09
O3 0.8097 0.0447 0.7703  -0.06
O4 0.6924 0.2027 0.1040  -0.07
O5 0.7157 0.5398 0.7657  -0.06
O6 0.6941 0.8618 0.4464  -0.07
O7 0.3038 0.1424 0.5744  -0.06
O8 0.3025 0.4613 0.2318  -0.06
O9 0.3139 0.8005 0.8885  -0.07
O10 0.2061 0.9601 0.2441  -0.08
O11 0.2038 0.3066 0.8984  -0.09
F1 0.1955 0.6359 0.5589  0.00

Mass density (g cm⁻³): 4.3
E above lowest polymorph (meV/atom): 3
Total DFT energy (no corrections) (eV/atom): -7.6744